Compound: AsHS3
Source: the Alexandria database
Functional: GGA-PBE
Structure: relaxed

Cell lengths 4.116, 4.116, 4.116 Å; angles 90.00, 90.00, 90.00 degrees
Sites, in units of the cell vectors:
H1 0.000 0.000 0.000
As1 0.500 0.500 0.500
S1 0.000 0.500 0.000
S2 0.000 0.000 0.500
S3 0.500 0.000 0.000

- Final energy: -3.083 eV per atom
- Energy relative to the lowest polymorph listed for this composition: 0.0000 eV/atom